Record 1
A plane-wave DFT calculation with PBE was carried out for crystalline Li2SCl4 at its relaxed geometry.

For the offset from the most stable computed form, the calculation gives 130.4 meV/atom. As for the formation energy from raw total energies: -0.7395 eV/atom. As for the theoretical density: 1.564 g/cm³.

The space group is I4/mmm (No. 139) and the conventional cell measures 4.536, 4.536 and 19.382 Å, with angles of 90.00, 90.00 and 90.00 degrees. The distinct sites, in fractional coordinates, are Li at (0.000, 0.000, 0.198), S at (0.000, 0.000, 0.500), Cl at (0.000, 0.000, 0.314) and Cl at (0.000, 0.500, 0.000).

---

Record 2
A plane-wave DFT calculation with PBE was carried out for crystalline DyScCu5 at its relaxed geometry.

The formation energy is -0.17 eV per atom. As for the theoretical density: 7.705 g/cm³.

The space group is Pnma (No. 62) and the conventional cell measures 8.330, 5.029 and 10.807 Å, with angles of 90.00, 90.00 and 90.00 degrees. The distinct sites, in fractional coordinates, are Dy at (0.109, 0.250, 0.130), Sc at (0.216, 0.250, 0.440), Cu at (0.085, 0.502, 0.674), Cu at (0.094, 0.250, 0.876), Cu at (0.096, 0.750, 0.471) and Cu at (0.168, 0.750, 0.247).

---

Record 3
A plane-wave DFT calculation with PBE was carried out for crystalline LiEr2Tc at its relaxed geometry.

For the offset from the most stable computed form, the calculation gives 0.0 meV/atom. The formation energy is -0.06 eV per atom. As for the theoretical density: 7.886 g/cm³.

The space group is P4/mmm (No. 123) and the conventional cell measures 3.442, 3.442 and 7.810 Å, with angles of 90.00, 90.00 and 90.00 degrees. The distinct sites, in fractional coordinates, are Li at (0.000, 0.000, 0.000), Er at (0.500, 0.500, 0.295) and Tc at (0.000, 0.000, 0.500).

---

Record 4
A plane-wave DFT calculation with PBE was carried out for crystalline VBiH2 at its relaxed geometry.

For the offset from the most stable computed form, the calculation gives 0.0 meV/atom. As for the theoretical density: 8.375 g/cm³.

The space group is I4_1/amd (No. 141, origin choice 2) and the conventional cell measures 4.379, 4.379 and 10.832 Å, with angles of 90.00, 90.00 and 90.00 degrees. The distinct sites, in fractional coordinates, are V at (0.000, 0.250, 0.375), Bi at (0.000, 0.250, 0.875) and H at (0.000, 0.000, 0.500).

---

Record 5
A plane-wave DFT calculation with PBE was carried out for crystalline Ba3YIr at its relaxed geometry.

For the offset from the most stable computed form, the calculation gives 1211.2 meV/atom. The formation energy is 1.42 eV per atom. As for the theoretical density: 4.928 g/cm³.

The space group is Pm-3m (No. 221) and the conventional cell measures 6.158, 6.158 and 6.158 Å, with angles of 90.00, 90.00 and 90.00 degrees. The distinct sites, in fractional coordinates, are Ba at (0.000, 0.000, 0.500), Y at (0.000, 0.000, 0.000) and Ir at (0.500, 0.500, 0.500).

---

Record 6
A plane-wave DFT calculation with PBE was carried out for crystalline PrFe2B3 at its relaxed geometry.

The formation energy is -0.29 eV per atom. As for the theoretical density: 7.233 g/cm³.

The space group is Cmcm (No. 63) and the conventional cell measures 8.566, 5.997 and 5.095 Å, with angles of 90.00, 90.00 and 90.00 degrees. The distinct sites, in fractional coordinates, are Pr at (0.000, 0.166, 0.250), Fe at (0.193, 0.500, 0.000), B at (0.000, 0.361, 0.750) and B at (0.180, 0.216, 0.750).

---

Record 7
A plane-wave DFT calculation with PBE was carried out for crystalline SrRh2Pb at its relaxed geometry.

The formation energy is -0.13 eV per atom. As for the theoretical density: 10.205 g/cm³.

The space group is P4/mmm (No. 123) and the conventional cell measures 4.679, 4.679 and 3.721 Å, with angles of 90.00, 90.00 and 90.00 degrees. The distinct sites, in fractional coordinates, are Sr at (0.000, 0.000, 0.000), Rh at (0.000, 0.500, 0.500) and Pb at (0.500, 0.500, 0.000).

---

Record 8
A plane-wave DFT calculation with PBE was carried out for crystalline KMgSe2Br at its relaxed geometry.

For the offset from the most stable computed form, the calculation gives 0.0 meV/atom. As for the formation energy from raw total energies: -0.7718 eV/atom. As for the theoretical density: 3.338 g/cm³.

The space group is P4/mmm (No. 123) and the conventional cell measures 5.115, 5.115 and 5.727 Å, with angles of 90.00, 90.00 and 90.00 degrees. The distinct sites, in fractional coordinates, are K at (0.000, 0.000, 0.000), Mg at (0.500, 0.500, 0.500), Se at (0.000, 0.500, 0.500) and Br at (0.500, 0.500, 0.000).

---

Record 9
A plane-wave DFT calculation with PBE was carried out for crystalline TbHo4Sc6 at its relaxed geometry.

The formation energy is 0.30 eV per atom. As for the theoretical density: 5.741 g/cm³.

The space group is I-42m (No. 121) and the conventional cell measures 6.312, 6.312 and 15.805 Å, with angles of 90.00, 90.00 and 90.00 degrees. The distinct sites, in fractional coordinates, are Tb at (0.000, 0.000, 0.000), Ho at (0.191, 0.191, 0.821), Sc at (0.000, 0.500, 0.000) and Sc at (0.173, 0.173, 0.616).

---

Record 10
A plane-wave DFT calculation with PBE was carried out for crystalline Pm3Pu2Rh3 at its relaxed geometry.

For the offset from the most stable computed form, the calculation gives 0.0 meV/atom. The formation energy is -0.49 eV per atom. As for the theoretical density: 10.408 g/cm³.

The space group is Cmcm (No. 63) and the conventional cell measures 4.124, 12.688 and 15.022 Å, with angles of 90.00, 90.00 and 90.00 degrees. The distinct sites, in fractional coordinates, are Pm at (0.000, 0.057, 0.123), Pm at (0.000, 0.353, 0.250), Pu at (0.000, 0.227, 0.584), Rh at (0.000, 0.325, 0.750) and Rh at (0.000, 0.404, 0.042).

---

Record 11
A plane-wave DFT calculation with PBE was carried out for crystalline TeAsPI2 at its relaxed geometry.

For the offset from the most stable computed form, the calculation gives 0.0 meV/atom. As for the formation energy from raw total energies: 0.6880 eV/atom. As for the theoretical density: 5.230 g/cm³.

The space group is P4/mmm (No. 123) and the conventional cell measures 5.302, 5.302 and 5.505 Å, with angles of 90.00, 90.00 and 90.00 degrees. The distinct sites, in fractional coordinates, are Te at (0.000, 0.000, 0.000), As at (0.500, 0.500, 0.000), P at (0.000, 0.000, 0.500) and I at (0.000, 0.500, 0.500).

---

Record 12
A plane-wave DFT calculation with PBE was carried out for crystalline Mg2SiAu at its relaxed geometry.

As for the formation energy from raw total energies: -0.3042 eV/atom. As for the theoretical density: 6.154 g/cm³.

The space group is Pm (No. 6) and the conventional cell measures 3.388, 4.260 and 5.390 Å, with angles of 90.00, 108.31 and 90.00 degrees. The distinct sites, in fractional coordinates, are Mg at (0.000, 0.000, 0.000), Mg at (0.315, 0.500, 0.632), Si at (0.585, 0.500, 0.170) and Au at (0.730, 0.000, 0.462).

---

Which value of theoretical density does entry 9 give? 5.741 g/cm³

---

Repeat the twelfth record exactly.
A plane-wave DFT calculation with PBE was carried out for crystalline Mg2SiAu at its relaxed geometry.

As for the formation energy from raw total energies: -0.3042 eV/atom. As for the theoretical density: 6.154 g/cm³.

The space group is Pm (No. 6) and the conventional cell measures 3.388, 4.260 and 5.390 Å, with angles of 90.00, 108.31 and 90.00 degrees. The distinct sites, in fractional coordinates, are Mg at (0.000, 0.000, 0.000), Mg at (0.315, 0.500, 0.632), Si at (0.585, 0.500, 0.170) and Au at (0.730, 0.000, 0.462).

---

Which of these has the highest theoretical density? Pm3Pu2Rh3

---

Which formula does entry 9 have? TbHo4Sc6